[1]
The following is a DFT calculation (PBE-GGA) of a geometry-optimized BaU2Te8 structure. Values from VASP.

Space-group type = C2/m
Uncorrected formation energy = -0.620 eV/atom

The structure in Quantum ESPRESSO input format:
```
&SYSTEM
  ibrav = 0, nat = 11, ntyp = 3
/
ATOMIC_SPECIES
Ba 137.33 Ba.upf
U 238.03 U.upf
Te 127.60 Te.upf
ATOMIC_POSITIONS angstrom
Ba 2.907 0.060 0.090
U -0.784 0.276 5.257
U -0.784 4.746 2.279
Te 4.110 5.532 5.219
Te 4.110 2.686 7.116
Te 0.854 2.968 4.454
Te 2.123 5.305 2.037
Te 2.123 -0.164 5.680
Te 3.392 2.174 3.263
Te 0.136 2.456 0.601
Te 0.136 -0.391 2.498
CELL_PARAMETERS angstrom
5.814 0.120 0.180
-0.784 8.229 -0.041
-0.784 -3.207 7.578
```

[2]
The following is a DFT calculation (PBE-GGA) of a geometry-optimized BaSm2Mg structure. Values from VASP.

Energy above the lowest structure with this stoichiometry = 174 meV/atom
Space-group type = R-3m

The structure in Quantum ESPRESSO input format:
```
&SYSTEM
  ibrav = 0, nat = 4, ntyp = 3
/
ATOMIC_SPECIES
Mg 24.30 Mg.upf
Ba 137.33 Ba.upf
Sm 150.36 Sm.upf
ATOMIC_POSITIONS angstrom
Mg 3.635 2.098 6.331
Ba 0.000 0.000 0.000
Sm 1.817 1.049 8.957
Sm 5.452 3.148 3.705
CELL_PARAMETERS angstrom
3.635 0.000 0.000
1.817 3.148 0.000
1.817 1.049 12.662
```

[3]
The following is a DFT calculation (PBE-GGA) of a geometry-optimized Cs2K6Ba structure. Values from VASP.

Space-group type = C2/m
Raw total energy = -9.73 eV/f.u.

The structure in Quantum ESPRESSO input format:
```
&SYSTEM
  ibrav = 0, nat = 9, ntyp = 3
/
ATOMIC_SPECIES
Cs 132.91 Cs.upf
K 39.10 K.upf
Ba 137.33 Ba.upf
ATOMIC_POSITIONS angstrom
Cs -5.415 -5.951 2.216
Cs 2.821 -6.946 1.230
K -4.632 -1.714 0.224
K 2.038 -11.183 3.222
K -1.082 -8.194 3.628
K -8.255 -5.824 6.259
K -4.652 -9.278 5.790
K -1.513 -4.703 -0.182
Ba -1.911 -1.464 -3.905
CELL_PARAMETERS angstrom
-1.911 -1.464 -3.905
9.629 -9.229 -1.252
-10.313 -2.205 8.603
```

[4]
The following is a DFT calculation (PBE-GGA) of a geometry-optimized MgSnHg structure. Values from VASP.

Space-group type = P-1
Raw total energy = -6.08 eV/f.u.

The structure in Quantum ESPRESSO input format:
```
&SYSTEM
  ibrav = 0, nat = 6, ntyp = 3
/
ATOMIC_SPECIES
Mg 24.30 Mg.upf
Hg 200.59 Hg.upf
Sn 118.71 Sn.upf
ATOMIC_POSITIONS angstrom
Mg 1.889 0.883 6.630
Mg 2.843 1.846 3.743
Hg 0.232 2.717 4.922
Hg 2.388 0.204 1.285
Sn 1.687 -2.587 0.118
Sn 1.534 -1.046 4.108
CELL_PARAMETERS angstrom
-2.464 -7.325 -3.260
3.065 0.771 1.279
0.557 5.399 9.034
```

What did the second record say?
The following is a DFT calculation (PBE-GGA) of a geometry-optimized BaSm2Mg structure. Values from VASP.

Energy above the lowest structure with this stoichiometry = 174 meV/atom
Space-group type = R-3m

The structure in Quantum ESPRESSO input format:
```
&SYSTEM
  ibrav = 0, nat = 4, ntyp = 3
/
ATOMIC_SPECIES
Mg 24.30 Mg.upf
Ba 137.33 Ba.upf
Sm 150.36 Sm.upf
ATOMIC_POSITIONS angstrom
Mg 3.635 2.098 6.331
Ba 0.000 0.000 0.000
Sm 1.817 1.049 8.957
Sm 5.452 3.148 3.705
CELL_PARAMETERS angstrom
3.635 0.000 0.000
1.817 3.148 0.000
1.817 1.049 12.662
```